# 1
Below is TcNi2Pt at its PBEsol-relaxed geometry, with properties calculated at the meta-GGA SCAN level.

Formation energy from the elements = -38 meV/atom
DOS(E_F) = 3.99 states/eV/f.u.

a b c (Å): 2.6268 3.5928 5.2683
angles (deg): 90.00 90.00 90.00
Atoms (fractional coordinates):
Pt 0.5000 0.5000 0.0000
Ni 0.0000 0.0000 0.2640
Ni 0.0000 0.0000 0.7360
Tc 0.5000 0.5000 0.5000



# 2
Below is Re3Mo2 at its PBEsol-relaxed geometry, with properties calculated at the meta-GGA SCAN level.

Formation energy from the elements = 505 meV/atom
DOS(E_F) = 3.75 states/eV/f.u.

a b c (Å): 4.2494 4.2494 5.2744
angles (deg): 90.00 90.00 120.00
Atoms (fractional coordinates):
Mo 0.6667 0.3333 0.1732
Mo 0.3333 0.6667 0.8268
Re 0.3333 0.6667 0.3485
Re 0.0000 0.0000 0.0000
Re 0.6667 0.3333 0.6515



# 3
Below is LiTlAs2 at its PBEsol-relaxed geometry, with properties calculated at the meta-GGA SCAN level.

Formation energy from the elements = -189 meV/atom
DOS(E_F) = 1.27 states/eV/f.u.

a b c (Å): 3.0734 3.9896 6.8517
angles (deg): 90.00 90.00 90.00
Atoms (fractional coordinates):
As 0.0000 0.0000 0.1777
As 0.0000 0.0000 0.8223
Li 0.5000 0.5000 0.0000
Tl 0.5000 0.5000 0.5000



# 4
Below is La2PRh at its PBEsol-relaxed geometry, with properties calculated at the meta-GGA SCAN level.

Formation energy from the elements = -1199 meV/atom
DOS(E_F) = 1.30 states/eV/f.u.

a b c (Å): 4.1148 4.1733 5.7647
angles (deg): 90.00 110.91 90.00
Atoms (fractional coordinates):
La 0.2634 0.5000 0.5269
La 0.9872 0.0000 0.9745
Rh 0.5473 0.5000 0.0946
P 0.6979 0.0000 0.3959



# 5
Below is Zr2CoHg at its PBEsol-relaxed geometry, with properties calculated at the meta-GGA SCAN level.

Formation energy from the elements = -106 meV/atom
DOS(E_F) = 2.93 states/eV/f.u.

a b c (Å): 3.2077 4.6027 5.6941
angles (deg): 113.84 106.36 90.00
Atoms (fractional coordinates):
Hg 0.2115 0.7115 0.4230
Zr 0.0026 0.0026 0.0052
Zr 0.7930 0.2930 0.5860
Co 0.4929 0.4929 0.9858



# 6
Below is GaIrRh3 at its PBEsol-relaxed geometry, with properties calculated at the meta-GGA SCAN level.

Formation energy from the elements = 1283 meV/atom
DOS(E_F) = 4.52 states/eV/f.u.

a b c (Å): 4.6553 4.6553 4.6553
angles (deg): 90.00 90.00 90.00
Atoms (fractional coordinates):
Ir 0.0000 0.0000 0.0000
Rh 0.0000 0.0000 0.5000
Rh 0.0000 0.5000 0.0000
Rh 0.5000 0.0000 0.0000
Ga 0.5000 0.5000 0.5000



# 7
Below is CsGeTeN2 at its PBEsol-relaxed geometry, with properties calculated at the meta-GGA SCAN level.

DOS(E_F) = 2.66 states/eV/f.u.
ΔE_f (raw) = 11.3 eV per formula unit

a b c (Å): 4.3247 4.3247 7.1416
angles (deg): 90.00 90.00 90.00
Last column: magnetic moment on the atom in μB.
Atoms (fractional coordinates):
N 0.5000 0.0000 0.0000  0.67
N 0.0000 0.5000 0.0000  0.67
Cs 0.0000 0.0000 0.0000  0.03
Ge 0.5000 0.5000 0.5000  -0.03
Te 0.0000 0.0000 0.5000  0.08



# 8
Below is CaY2Te4 at its PBEsol-relaxed geometry, with properties calculated at the meta-GGA SCAN level.

ΔE_f (raw) = -11.7 eV per formula unit

a b c (Å): 4.3310 7.4189 7.6108
angles (deg): 107.95 90.00 90.00
Atoms (fractional coordinates):
Y 0.0000 0.0000 0.0000
Y 0.5000 0.5000 0.0000
Te 0.5000 0.7611 0.7522
Te 0.0000 0.7484 0.2416
Te 0.5000 0.2389 0.2478
Te 0.0000 0.2516 0.7584
Ca 0.0000 0.5000 0.5000



# 9
Below is Na3CaB at its PBEsol-relaxed geometry, with properties calculated at the meta-GGA SCAN level.

Formation energy from the elements = 1674 meV/atom
DOS(E_F) = 4.59 states/eV/f.u.

a b c (Å): 6.2222 6.2222 6.2222
angles (deg): 90.00 90.00 90.00
Last column: magnetic moment on the atom in μB.
Atoms (fractional coordinates):
Ca 0.0000 0.0000 0.0000  0.01
Na 0.0000 0.0000 0.5000  -0.01
Na 0.0000 0.5000 0.0000  -0.01
Na 0.5000 0.0000 0.0000  -0.01
B 0.5000 0.5000 0.5000  0.31



# 10
Below is SmSi2Pt2 at its PBEsol-relaxed geometry, with properties calculated at the meta-GGA SCAN level.

DOS(E_F) = 2.33 states/eV/f.u.
ΔE_f (raw) = -6.6 eV per formula unit

a b c (Å): 4.1931 4.1931 9.7766
angles (deg): 90.00 90.00 90.00
Atoms (fractional coordinates):
Pt 0.5000 0.0000 0.3775
Pt 0.5000 0.5000 0.0000
Pt 0.0000 0.5000 0.6225
Pt 0.0000 0.0000 0.0000
Sm 0.5000 0.0000 0.7449
Sm 0.0000 0.5000 0.2551
Si 0.0000 0.0000 0.5000
Si 0.5000 0.0000 0.1331
Si 0.5000 0.5000 0.5000
Si 0.0000 0.5000 0.8669



# 11
Below is CaZrZn2 at its PBEsol-relaxed geometry, with properties calculated at the meta-GGA SCAN level.

Formation energy from the elements = 272 meV/atom
DOS(E_F) = 3.85 states/eV/f.u.

a b c (Å): 4.7987 4.7987 4.7987
angles (deg): 60.00 60.00 60.00
Last column: magnetic moment on the atom in μB.
Atoms (fractional coordinates):
Zr 0.2500 0.2500 0.2500  1.08
Zn 0.0000 0.0000 0.0000  0.03
Zn 0.7500 0.7500 0.7500  -0.01
Ca 0.5000 0.5000 0.5000  0.15



# 12
Below is BeCuPd2C at its PBEsol-relaxed geometry, with properties calculated at the meta-GGA SCAN level.

Formation energy from the elements = 293 meV/atom
DOS(E_F) = 1.66 states/eV/f.u.

a b c (Å): 3.7042 4.0468 4.0468
angles (deg): 90.00 90.00 90.00
Atoms (fractional coordinates):
Pd 0.0000 0.0000 0.5000
Pd 0.0000 0.5000 0.0000
C 0.0000 0.0000 0.0000
Cu 0.5000 0.0000 0.0000
Be 0.5000 0.5000 0.5000



# 13
Below is Mg3Pd5 at its PBEsol-relaxed geometry, with properties calculated at the meta-GGA SCAN level.

Formation energy from the elements = -665 meV/atom
DOS(E_F) = 2.72 states/eV/f.u.

a b c (Å): 4.1728 5.4440 10.6753
angles (deg): 90.00 90.00 90.00
Atoms (fractional coordinates):
Pd 0.0000 0.9118 0.2544
Pd 0.0000 0.0000 0.0000
Pd 0.0000 0.0882 0.7456
Pd 0.5000 0.6867 0.1126
Pd 0.5000 0.1867 0.3874
Pd 0.0000 0.5882 0.7544
Pd 0.0000 0.4118 0.2456
Pd 0.5000 0.3133 0.8874
Pd 0.0000 0.5000 0.5000
Pd 0.5000 0.8133 0.6126
Mg 0.5000 0.1746 0.1377
Mg 0.0000 0.5000 0.0000
Mg 0.5000 0.3254 0.6377
Mg 0.5000 0.6746 0.3623
Mg 0.5000 0.8254 0.8623
Mg 0.0000 0.0000 0.5000



# 14
Below is YMnAs2Br at its PBEsol-relaxed geometry, with properties calculated at the meta-GGA SCAN level.

DOS(E_F) = 1.69 states/eV/f.u.
ΔE_f (raw) = -2.4 eV per formula unit

a b c (Å): 4.6901 4.6901 4.9052
angles (deg): 90.00 90.00 90.00
Last column: magnetic moment on the atom in μB.
Atoms (fractional coordinates):
Y 0.5000 0.5000 0.5000  0.12
As 0.5000 0.0000 0.0000  -0.05
As 0.0000 0.5000 0.0000  -0.05
Mn 0.0000 0.0000 0.0000  3.55
Br 0.0000 0.0000 0.5000  0.02



# 15
Below is Ba2ZrSF at its PBEsol-relaxed geometry, with properties calculated at the meta-GGA SCAN level.

DOS(E_F) = 3.29 states/eV/f.u.
ΔE_f (raw) = -4.2 eV per formula unit

a b c (Å): 4.7907 6.1168 6.1168
angles (deg): 90.00 90.00 90.00
Atoms (fractional coordinates):
Ba 0.0000 0.5000 0.0000
Ba 0.0000 0.0000 0.5000
Zr 0.0000 0.0000 0.0000
F 0.5000 0.5000 0.5000
S 0.5000 0.0000 0.0000



# 16
Below is Y2CrSb at its PBEsol-relaxed geometry, with properties calculated at the meta-GGA SCAN level.

DOS(E_F) = 4.21 states/eV/f.u.
ΔE_f (raw) = -0.6 eV per formula unit

a b c (Å): 3.4757 3.4757 7.8880
angles (deg): 90.00 90.00 90.00
Last column: magnetic moment on the atom in μB.
Atoms (fractional coordinates):
Sb 0.5000 0.5000 0.6971  -0.15
Cr 0.0000 0.0000 0.5422  3.24
Y 0.0000 0.0000 0.9585  0.20
Y 0.5000 0.5000 0.3023  -0.11



# 17
Below is AlGeC3 at its PBEsol-relaxed geometry, with properties calculated at the meta-GGA SCAN level.

Formation energy from the elements = 2408 meV/atom
DOS(E_F) = 3.77 states/eV/f.u.

a b c (Å): 3.9206 3.9206 3.9206
angles (deg): 90.00 90.00 90.00
Atoms (fractional coordinates):
Al 0.0000 0.0000 0.0000
C 0.0000 0.5000 0.0000
C 0.0000 0.0000 0.5000
C 0.5000 0.0000 0.0000
Ge 0.5000 0.5000 0.5000



# 18
Below is Li2LaGe2 at its PBEsol-relaxed geometry, with properties calculated at the meta-GGA SCAN level.

Formation energy from the elements = -664 meV/atom
DOS(E_F) = 1.47 states/eV/f.u.

a b c (Å): 4.2190 4.2190 6.3076
angles (deg): 109.54 109.54 90.00
Atoms (fractional coordinates):
La 0.0000 0.0000 0.0000
Ge 0.3896 0.3896 0.7793
Ge 0.6104 0.6104 0.2207
Li 0.2500 0.7500 0.5000
Li 0.7500 0.2500 0.5000



# 19
Below is CaAlRePt2 at its PBEsol-relaxed geometry, with properties calculated at the meta-GGA SCAN level.

Formation energy from the elements = 818 meV/atom
DOS(E_F) = 3.28 states/eV/f.u.

a b c (Å): 4.7966 4.7966 5.2305
angles (deg): 90.00 90.00 90.00
Atoms (fractional coordinates):
Ca 0.0000 0.0000 0.5000
Re 0.0000 0.0000 0.0000
Pt 0.5000 0.0000 0.0000
Pt 0.0000 0.5000 0.0000
Al 0.5000 0.5000 0.5000



# 20
Below is RbAlSN2 at its PBEsol-relaxed geometry, with properties calculated at the meta-GGA SCAN level.

DOS(E_F) = 2.44 states/eV/f.u.
ΔE_f (raw) = 10.4 eV per formula unit

a b c (Å): 5.0328 5.0328 6.1176
angles (deg): 90.00 90.00 90.00
Last column: magnetic moment on the atom in μB.
Atoms (fractional coordinates):
N 0.0000 0.5000 0.0000  1.78
N 0.5000 0.0000 0.0000  1.78
Rb 0.0000 0.0000 0.0000  0.14
Al 0.5000 0.5000 0.5000  0.03
S 0.0000 0.0000 0.5000  0.43



# 21
Below is SrTeAsI2 at its PBEsol-relaxed geometry, with properties calculated at the meta-GGA SCAN level.

DOS(E_F) = 3.85 states/eV/f.u.
ΔE_f (raw) = 0.0 eV per formula unit

a b c (Å): 6.2144 6.0379 6.0379
angles (deg): 90.00 90.00 90.00
Last column: magnetic moment on the atom in μB.
Atoms (fractional coordinates):
Te 0.0000 0.0000 0.0000  0.01
I 0.0000 0.0000 0.5000  0.06
I 0.0000 0.5000 0.0000  0.06
As 0.5000 0.5000 0.5000  0.95
Sr 0.5000 0.0000 0.0000  0.00



# 22
Below is K2BeF4 at its PBEsol-relaxed geometry, with properties calculated at the meta-GGA SCAN level.

DOS(E_F) = 0.00 states/eV/f.u.
ΔE_f (raw) = -23.0 eV per formula unit

a b c (Å): 5.6380 7.2572 9.8263
angles (deg): 90.00 90.00 90.00
Atoms (fractional coordinates):
F 0.7500 0.4807 0.9187
F 0.0248 0.3070 0.3465
F 0.5248 0.1930 0.8465
F 0.7500 0.9807 0.5813
F 0.2500 0.8125 0.9316
F 0.7500 0.6875 0.4316
F 0.7500 0.1875 0.0684
F 0.9752 0.1930 0.8465
F 0.4752 0.3070 0.3465
F 0.4752 0.8070 0.1535
F 0.0248 0.8070 0.1535
F 0.2500 0.0193 0.4187
F 0.9752 0.6930 0.6535
F 0.5248 0.6930 0.6535
F 0.2500 0.5193 0.0813
F 0.2500 0.3125 0.5684
K 0.7500 0.0107 0.3078
K 0.2500 0.9893 0.6922
K 0.7500 0.3425 0.5890
K 0.7500 0.8425 0.9110
K 0.2500 0.1575 0.0890
K 0.2500 0.6575 0.4110
K 0.2500 0.4893 0.8078
K 0.7500 0.5107 0.1922
Be 0.2500 0.7330 0.0799
Be 0.7500 0.2670 0.9201
Be 0.7500 0.7670 0.5799
Be 0.2500 0.2330 0.4201



# 23
Below is NaSiSn3 at its PBEsol-relaxed geometry, with properties calculated at the meta-GGA SCAN level.

DOS(E_F) = 2.34 states/eV/f.u.
ΔE_f (raw) = 5.5 eV per formula unit

a b c (Å): 5.2413 5.2413 5.2413
angles (deg): 90.00 90.00 90.00
Atoms (fractional coordinates):
Na 0.0000 0.0000 0.0000
Sn 0.0000 0.0000 0.5000
Sn 0.5000 0.0000 0.0000
Sn 0.0000 0.5000 0.0000
Si 0.5000 0.5000 0.5000



# 24
Below is TaTe2Pt at its PBEsol-relaxed geometry, with properties calculated at the meta-GGA SCAN level.

DOS(E_F) = 2.96 states/eV/f.u.
ΔE_f (raw) = 2.0 eV per formula unit

a b c (Å): 3.0017 4.9368 5.4525
angles (deg): 90.00 93.17 90.00
Atoms (fractional coordinates):
Pt 0.5000 0.5000 0.0000
Te 0.7676 0.0000 0.7515
Te 0.2324 0.0000 0.2485
Ta 0.0000 0.5000 0.5000



# 25
Below is KCo2Br at its PBEsol-relaxed geometry, with properties calculated at the meta-GGA SCAN level.

DOS(E_F) = 0.09 states/eV/f.u.
ΔE_f (raw) = 0.7 eV per formula unit

a b c (Å): 3.5668 3.5668 7.7797
angles (deg): 76.75 76.75 60.00
Last column: magnetic moment on the atom in μB.
Atoms (fractional coordinates):
Br 0.7352 0.7352 0.7943  0.06
Co 0.9536 0.9536 0.1392  2.03
Co 0.3268 0.3268 0.0196  1.87
K 0.5102 0.5102 0.4694  0.00



# 26
Below is OsCl2F at its PBEsol-relaxed geometry, with properties calculated at the meta-GGA SCAN level.

DOS(E_F) = 0.81 states/eV/f.u.
ΔE_f (raw) = 0.2 eV per formula unit

a b c (Å): 3.5499 3.5499 7.1792
angles (deg): 75.69 75.69 60.00
Last column: magnetic moment on the atom in μB.
Atoms (fractional coordinates):
Os 0.5000 0.5000 0.5000  0.27
Cl 0.8905 0.8905 0.3286  0.10
Cl 0.1095 0.1095 0.6714  0.10
F 0.0000 0.0000 0.0000  0.45



# 27
Below is ZrCd2Re at its PBEsol-relaxed geometry, with properties calculated at the meta-GGA SCAN level.

Formation energy from the elements = 131 meV/atom
DOS(E_F) = 2.00 states/eV/f.u.

a b c (Å): 3.9737 3.9737 4.6035
angles (deg): 90.00 90.00 90.00
Atoms (fractional coordinates):
Cd 0.0000 0.5000 0.0000
Cd 0.5000 0.0000 0.0000
Zr 0.0000 0.0000 0.5000
Re 0.5000 0.5000 0.5000



| no. | uncorrected energy (eV/atom) |
| --- | --- |
| 1 | -34.44 |
| 2 | -56.11 |
| 3 | -28.97 |
| 4 | -33.79 |
| 5 | -36.82 |
| 6 | -36.47 |
| 7 | -20.28 |
| 8 | -32.29 |
| 9 | -4.27 |
| 10 | -42.29 |
| 11 | -16.58 |
| 12 | -18.75 |
| 13 | -23.01 |
| 14 | -21.67 |
| 15 | -25.43 |
| 16 | -27.99 |
| 17 | -9.02 |
| 18 | -17.88 |
| 19 | -44.96 |
| 20 | -9.26 |
| 21 | -30.64 |
| 22 | -8.31 |
| 23 | -23.30 |
| 24 | -52.31 |
| 25 | -15.44 |
| 26 | -22.79 |
| 27 | -40.53 |